[1]
{
  "formula": "Ho3SbPN",
  "functional": "GGA-PBE",
  "state": "relaxed",
  "cell": [[-1.4068, 3.2809, 1.9002], [-6.4573, 0.4938, -5.6330], [-3.6128, -5.2805, 6.4424]],
  "species": ["Ho", "Ho", "Ho", "Ho", "Ho", "Ho", "Sb", "Sb", "P", "P", "N", "N"],
  "frac_coords": [[0.2500, 0.8435, 0.4870], [0.7500, 0.8803, 0.1631], [0.7500, 0.4212, 0.1455], [0.7500, 0.1565, 0.5130], [0.2500, 0.5788, 0.8545], [0.2500, 0.1197, 0.8369], [0.7500, 0.8231, 0.7870], [0.2500, 0.1769, 0.2130], [0.2500, 0.6482, 0.1599], [0.7500, 0.3518, 0.8401], [0.2500, 0.0939, 0.5990], [0.7500, 0.9061, 0.4010]],
  "vol_a3_per_cell": 308.8,
  "e_tot_ry_per_atom": -0.4843,
  "m_tot_mub_per_fu": 0.000,
  "sg": "P2_1/m, No. 11"
}


[2]
{
  "formula": "Ho8P3Se3N",
  "functional": "GGA-PBE",
  "state": "relaxed",
  "cell": [[-5.2117, 5.7139, -1.2691], [-2.1185, -7.4970, -0.8538], [1.3670, 2.8752, 7.3318]],
  "species": ["Ho", "Ho", "Ho", "Ho", "Ho", "Ho", "Ho", "Ho", "P", "P", "P", "Se", "Se", "Se", "N"],
  "frac_coords": [[0.2576, 0.5151, 0.2727], [0.7424, 0.4849, 0.7273], [0.7754, 0.5508, 0.2871], [0.2246, 0.4492, 0.7129], [0.7753, 0.0117, 0.2870], [0.2247, 0.9883, 0.7130], [0.2364, 0.0117, 0.2870], [0.7636, 0.9883, 0.7130], [0.5000, 0.0000, 0.5000], [0.5000, 0.5000, 0.5000], [0.0000, 0.5000, 0.5000], [0.0000, 0.0000, 0.0000], [0.0000, 0.5000, 0.0000], [0.5000, 0.5000, 0.0000], [0.0000, 0.0000, 0.5000]],
  "vol_a3_per_cell": 350.5,
  "e_tot_ry_per_atom": -0.4652,
  "m_tot_mub_per_fu": 0.002,
  "sg": "R-3m, No. 166"
}


[3]
{
  "formula": "Ho4PSe2N",
  "functional": "GGA-PBE",
  "state": "relaxed",
  "cell": [[3.8364, 0.0000, 0.0000], [0.0000, 6.6631, 0.1184], [0.0000, -2.3281, 6.5234]],
  "species": ["Ho", "Ho", "Ho", "Ho", "P", "Se", "Se", "N"],
  "frac_coords": [[0.5000, 0.2184, 0.2068], [0.5000, 0.7816, 0.7932], [0.0000, 0.2387, 0.7859], [0.0000, 0.7613, 0.2141], [0.5000, 0.5000, 0.0000], [0.5000, 0.0000, 0.5000], [0.0000, 0.5000, 0.5000], [0.0000, 0.0000, 0.0000]],
  "vol_a3_per_cell": 167.8,
  "e_tot_ry_per_atom": -0.4825,
  "m_tot_mub_per_fu": 0.000,
  "sg": "P2/m, No. 10"
}


[4]
{
  "formula": "SrHo2P2N6",
  "functional": "GGA-PBE",
  "state": "relaxed",
  "cell": [[5.9205, -0.5903, 0.3312], [2.5450, 5.9620, 0.3414], [0.5438, -3.2645, 4.2525]],
  "species": ["Sr", "Ho", "Ho", "P", "P", "N", "N", "N", "N", "N", "N"],
  "frac_coords": [[0.5000, 0.0000, 0.5000], [0.7969, 0.4365, 0.7104], [0.2031, 0.5635, 0.2896], [0.1615, 0.7953, 0.9334], [0.8385, 0.2047, 0.0666], [0.3922, 0.7582, 0.0422], [0.8503, 0.4809, 0.2814], [0.1271, 0.9530, 0.7537], [0.1497, 0.5191, 0.7186], [0.8729, 0.0470, 0.2463], [0.6078, 0.2418, 0.9578]],
  "vol_a3_per_cell": 159.2,
  "e_tot_ry_per_atom": -0.5585,
  "m_tot_mub_per_fu": 0.000,
  "sg": "P-1, No. 2"
}


[5]
{
  "formula": "Ho8Te3P3N",
  "functional": "GGA-PBE",
  "state": "relaxed",
  "cell": [[7.9607, -0.0018, -0.0017], [-3.9819, 6.8973, -0.0257], [-0.0005, -4.5725, 7.0614]],
  "species": ["Ho", "Ho", "Ho", "Ho", "Ho", "Ho", "Ho", "Ho", "Te", "Te", "Te", "P", "P", "P", "N"],
  "frac_coords": [[0.2650, 0.5303, 0.2954], [0.7350, 0.4697, 0.7046], [0.7842, 0.5683, 0.3073], [0.2158, 0.4317, 0.6927], [0.7839, 0.0230, 0.3073], [0.2161, 0.9770, 0.6927], [0.2387, 0.0229, 0.3075], [0.7613, 0.9771, 0.6925], [0.0000, 0.0000, 0.0000], [0.0000, 0.5000, 0.0000], [0.5000, 0.5000, 0.0000], [0.5000, 0.0000, 0.5000], [0.5000, 0.5000, 0.5000], [0.0000, 0.5000, 0.5000], [0.0000, 0.0000, 0.5000]],
  "vol_a3_per_cell": 386.7,
  "e_tot_ry_per_atom": -0.4449,
  "m_tot_mub_per_fu": 0.001,
  "sg": "R-3m, No. 166"
}


[6]
{
  "formula": "HoThPN",
  "functional": "GGA-PBE",
  "state": "relaxed",
  "cell": [[-3.6913, -2.2120, -0.6906], [2.3055, -3.3746, -1.5141], [0.4843, -3.4141, 8.3465]],
  "species": ["Ho", "Ho", "Th", "Th", "P", "P", "N", "N"],
  "frac_coords": [[0.0000, 0.0000, 0.5000], [0.5000, 0.5000, 0.5000], [0.0000, 0.5000, 0.8873], [0.5000, 0.0000, 0.1127], [0.5000, 0.0000, 0.6859], [0.0000, 0.5000, 0.3141], [0.5000, 0.5000, 0.0000], [0.0000, 0.0000, 0.0000]],
  "vol_a3_per_cell": 171.5,
  "e_tot_ry_per_atom": -0.5656,
  "m_tot_mub_per_fu": 0.000,
  "sg": "P4/nmm, No. 129"
}


[7]
{
  "formula": "HoTh2PN5",
  "functional": "GGA-PBE",
  "state": "relaxed",
  "cell": [[5.6001, 0.0000, 0.0000], [0.0000, 6.7119, 0.0000], [0.0000, 0.0000, 6.7119]],
  "species": ["Ho", "Ho", "Th", "Th", "Th", "Th", "P", "P", "N", "N", "N", "N", "N", "N", "N", "N", "N", "N"],
  "frac_coords": [[0.0000, 0.5000, 0.5000], [0.0000, 0.0000, 0.0000], [0.5000, 0.6786, 0.1786], [0.5000, 0.1786, 0.3214], [0.5000, 0.8214, 0.6786], [0.5000, 0.3214, 0.8214], [0.0000, 0.0000, 0.5000], [0.0000, 0.5000, 0.0000], [0.5000, 0.5000, 0.5000], [0.5000, 0.0000, 0.0000], [0.2197, 0.1320, 0.6320], [0.2197, 0.8680, 0.3680], [0.2197, 0.3680, 0.1320], [0.2197, 0.6320, 0.8680], [0.7803, 0.1320, 0.6320], [0.7803, 0.6320, 0.8680], [0.7803, 0.8680, 0.3680], [0.7803, 0.3680, 0.1320]],
  "vol_a3_per_cell": 252.3,
  "e_tot_ry_per_atom": -0.6141,
  "m_tot_mub_per_fu": 0.000,
  "sg": "P4/mbm, No. 127"
}


[8]
{
  "formula": "Ho2TlP2N6",
  "functional": "GGA-PBE",
  "state": "relaxed",
  "cell": [[6.2455, 0.0010, 0.0034], [3.1177, 5.6374, -0.0832], [0.0012, -3.2274, 5.5113]],
  "species": ["Ho", "Ho", "Tl", "P", "P", "N", "N", "N", "N", "N", "N"],
  "frac_coords": [[0.8250, 0.3500, 0.8023], [0.1750, 0.6500, 0.1977], [0.5000, 0.0000, 0.5000], [0.1551, 0.6905, 0.7550], [0.8449, 0.3095, 0.2450], [0.4084, 0.6023, 0.8360], [0.0100, 0.3982, 0.1644], [0.0669, 0.8670, 0.6294], [0.9900, 0.6018, 0.8356], [0.9331, 0.1330, 0.3706], [0.5916, 0.3977, 0.1640]],
  "vol_a3_per_cell": 192.3,
  "e_tot_ry_per_atom": -0.5267,
  "m_tot_mub_per_fu": 0.360,
  "sg": "C2/m, No. 12"
}


[9]
{
  "formula": "HoUPN2",
  "functional": "GGA-PBE",
  "state": "relaxed",
  "cell": [[3.7634, 0.0000, 0.0000], [0.0000, 3.7634, 0.0000], [-1.8817, -1.8817, 5.8357]],
  "species": ["Ho", "U", "P", "N", "N"],
  "frac_coords": [[0.8509, 0.8509, 0.7018], [0.1548, 0.1548, 0.3096], [0.5117, 0.5117, 0.0234], [0.7413, 0.2413, 0.4826], [0.2413, 0.7413, 0.4826]],
  "vol_a3_per_cell": 82.7,
  "e_tot_ry_per_atom": -0.6537,
  "m_tot_mub_per_fu": 0.000,
  "sg": "I4mm, No. 107"
}


[10]
{
  "formula": "Ho2PaN3",
  "functional": "GGA-PBE",
  "state": "relaxed",
  "cell": [[-0.7943, 0.1829, -3.3137], [-1.0328, -6.5301, 1.6443], [-6.9746, 4.4173, 1.9155]],
  "species": ["Ho", "Ho", "Ho", "Ho", "Pa", "Pa", "N", "N", "N", "N", "N", "N"],
  "frac_coords": [[0.1703, 0.3406, 0.3376], [0.8297, 0.6594, 0.6624], [0.3280, 0.6560, 0.1632], [0.6720, 0.3440, 0.8368], [0.5000, 0.0000, 0.0000], [0.0000, 0.0000, 0.5000], [0.9720, 0.9440, 0.1983], [0.0280, 0.0560, 0.8017], [0.6853, 0.3705, 0.1322], [0.3147, 0.6295, 0.8678], [0.3660, 0.7320, 0.4754], [0.6340, 0.2680, 0.5246]],
  "vol_a3_per_cell": 180.0,
  "e_tot_ry_per_atom": -0.6310,
  "m_tot_mub_per_fu": 0.003,
  "sg": "C2/m, No. 12"
}


[11]
{
  "formula": "Ho2PaN",
  "functional": "GGA-PBE",
  "state": "relaxed",
  "cell": [[3.1098, 0.0000, 0.0000], [0.0000, 3.1098, 0.0000], [0.0000, 0.0000, 8.2061]],
  "species": ["Pa", "Ho", "Ho", "N"],
  "frac_coords": [[0.5000, 0.5000, 0.5000], [0.0000, 0.0000, 0.8280], [0.0000, 0.0000, 0.1720], [0.5000, 0.5000, 0.0000]],
  "vol_a3_per_cell": 79.4,
  "e_tot_ry_per_atom": -0.5092,
  "m_tot_mub_per_fu": 0.001,
  "sg": "P4/mmm, No. 123"
}


[12]
{
  "formula": "HoPaN",
  "functional": "GGA-PBE",
  "state": "relaxed",
  "cell": [[-0.0116, 2.6473, 1.9844], [4.6610, -4.4168, 5.9192], [7.8908, 3.0091, -3.9682]],
  "species": ["N", "N", "N", "N", "Ho", "Ho", "Ho", "Ho", "Pa", "Pa", "Pa", "Pa"],
  "frac_coords": [[0.7500, 0.6256, 0.4537], [0.2500, 0.1256, 0.0463], [0.2500, 0.3744, 0.5463], [0.7500, 0.8744, 0.9537], [0.7500, 0.3191, 0.0035], [0.2500, 0.8191, 0.4965], [0.2500, 0.6809, 0.9965], [0.7500, 0.1809, 0.5035], [0.7500, 0.9899, 0.1706], [0.2500, 0.4899, 0.3294], [0.2500, 0.0101, 0.8294], [0.7500, 0.5101, 0.6706]],
  "vol_a3_per_cell": 269.6,
  "e_tot_ry_per_atom": -0.5955,
  "m_tot_mub_per_fu": 0.005,
  "sg": "Pnma, No. 62"
}


[13]
{
  "formula": "HoPa3N6",
  "functional": "GGA-PBE",
  "state": "relaxed",
  "cell": [[3.5620, 0.0000, 0.0000], [0.0000, 9.1467, -1.8899], [0.0000, -0.5109, 9.1903]],
  "species": ["Ho", "Ho", "Pa", "Pa", "Pa", "Pa", "Pa", "Pa", "N", "N", "N", "N", "N", "N", "N", "N", "N", "N", "N", "N"],
  "frac_coords": [[0.2500, 0.3291, 0.9283], [0.7500, 0.6709, 0.0717], [0.2500, 0.1788, 0.5350], [0.7500, 0.8212, 0.4650], [0.2500, 0.4746, 0.3121], [0.7500, 0.5254, 0.6879], [0.2500, 0.9179, 0.8302], [0.7500, 0.0821, 0.1698], [0.2500, 0.4215, 0.5548], [0.7500, 0.5785, 0.4452], [0.2500, 0.9205, 0.0753], [0.7500, 0.0795, 0.9247], [0.2500, 0.9505, 0.5924], [0.7500, 0.0495, 0.4076], [0.2500, 0.7152, 0.2904], [0.7500, 0.2848, 0.7096], [0.2500, 0.5681, 0.8866], [0.7500, 0.4319, 0.1134], [0.2500, 0.2200, 0.2751], [0.7500, 0.7800, 0.7249]],
  "vol_a3_per_cell": 296.0,
  "e_tot_ry_per_atom": -0.7316,
  "m_tot_mub_per_fu": 0.000,
  "sg": "P2_1/m, No. 11"
}


[14]
{
  "formula": "HoPa3N",
  "functional": "GGA-PBE",
  "state": "relaxed",
  "cell": [[-1.2733, -3.9277, -2.5055], [1.0633, -2.7738, 3.8080], [-4.5358, 0.4523, 1.5961]],
  "species": ["Pa", "Pa", "Pa", "Ho", "N"],
  "frac_coords": [[0.0000, 0.5000, 0.0000], [0.0000, 0.0000, 0.5000], [0.5000, 0.0000, 0.0000], [0.5000, 0.5000, 0.5000], [0.0000, 0.0000, 0.0000]],
  "vol_a3_per_cell": 112.7,
  "e_tot_ry_per_atom": -0.6447,
  "m_tot_mub_per_fu": 0.000,
  "sg": "Pm-3m, No. 221"
}


[15]
{
  "formula": "Ho2PaN",
  "functional": "GGA-PBE",
  "state": "relaxed",
  "cell": [[3.3048, 0.0000, 0.0000], [1.6524, 2.8620, 0.0000], [1.6524, 0.9540, 9.3409]],
  "species": ["Pa", "Ho", "Ho", "N"],
  "frac_coords": [[0.0000, 0.0000, 0.0000], [0.1177, 0.1177, 0.6468], [0.8823, 0.8823, 0.3532], [0.5000, 0.5000, 0.5000]],
  "vol_a3_per_cell": 88.3,
  "e_tot_ry_per_atom": -0.5383,
  "m_tot_mub_per_fu": 0.000,
  "sg": "R-3m, No. 166"
}


[16]
{
  "formula": "Ho3Pa5N8",
  "functional": "GGA-PBE",
  "state": "relaxed",
  "cell": [[6.0216, 0.0000, 3.4492], [2.0230, 5.6717, 3.4492], [0.0013, 0.0009, 6.9786]],
  "species": ["Ho", "Ho", "Ho", "Pa", "Pa", "Pa", "Pa", "Pa", "N", "N", "N", "N", "N", "N", "N", "N"],
  "frac_coords": [[0.5000, 0.0000, 0.5000], [0.0000, 0.0000, 0.5000], [0.0000, 0.5000, 0.5000], [0.5000, 0.0000, 0.0000], [0.5000, 0.5000, 0.0000], [0.0000, 0.0000, 0.0000], [0.0000, 0.5000, 0.0000], [0.5000, 0.5000, 0.5000], [0.2505, 0.2505, 0.7482], [0.2505, 0.7508, 0.7482], [0.7508, 0.2505, 0.7482], [0.7474, 0.7474, 0.7579], [0.7495, 0.7495, 0.2518], [0.7495, 0.2492, 0.2518], [0.2492, 0.7495, 0.2518], [0.2526, 0.2526, 0.2421]],
  "vol_a3_per_cell": 238.3,
  "e_tot_ry_per_atom": -0.7089,
  "m_tot_mub_per_fu": 0.000,
  "sg": "R-3m, No. 166"
}


[17]
{
  "formula": "HoPaN",
  "functional": "GGA-PBE",
  "state": "relaxed",
  "cell": [[-1.1280, 2.6371, -1.4620], [0.2589, -1.4704, -2.8521], [-5.5514, -2.8090, 2.7611]],
  "species": ["Pa", "Ho", "N"],
  "frac_coords": [[0.3226, 0.3226, 0.6453], [0.0406, 0.0406, 0.0812], [0.4868, 0.4868, 0.9736]],
  "vol_a3_per_cell": 66.5,
  "e_tot_ry_per_atom": -0.5935,
  "m_tot_mub_per_fu": 0.000,
  "sg": "I4mm, No. 107"
}


[18]
{
  "formula": "HoPa3N6",
  "functional": "GGA-PBE",
  "state": "relaxed",
  "cell": [[-1.2295, 0.2438, -3.4535], [-0.2310, -6.8063, -0.3982], [-5.9496, 2.4287, 2.2895]],
  "species": ["Ho", "Pa", "Pa", "Pa", "N", "N", "N", "N", "N", "N"],
  "frac_coords": [[0.0000, 0.5000, 0.5000], [0.5000, 0.5000, 0.0000], [0.0000, 0.0000, 0.0000], [0.5000, 0.0000, 0.5000], [0.0000, 0.0728, 0.3324], [0.0000, 0.9272, 0.6676], [0.0000, 0.3324, 0.0728], [0.0000, 0.6676, 0.9272], [0.5000, 0.6486, 0.3514], [0.5000, 0.3514, 0.6486]],
  "vol_a3_per_cell": 160.5,
  "e_tot_ry_per_atom": -0.7157,
  "m_tot_mub_per_fu": 0.000,
  "sg": "Cmmm, No. 65"
}


[19]
{
  "formula": "HoPa2N4",
  "functional": "GGA-PBE",
  "state": "relaxed",
  "cell": [[-4.1985, -4.1662, 2.1921], [-0.1627, -0.1563, -6.3039], [5.8675, -1.3752, 1.8631]],
  "species": ["Ho", "Ho", "Pa", "Pa", "Pa", "Pa", "N", "N", "N", "N", "N", "N", "N", "N"],
  "frac_coords": [[0.0000, 0.0000, 0.0000], [0.7500, 0.5000, 0.2500], [0.8750, 0.1070, 0.4820], [0.5180, 0.3930, 0.6250], [0.3750, 0.8930, 0.7680], [0.2320, 0.6070, 0.1250], [0.1350, 0.8754, 0.3822], [0.6178, 0.7528, 0.4932], [0.0096, 0.6246, 0.7568], [0.2432, 0.2528, 0.8678], [0.6150, 0.7472, 0.9904], [0.7404, 0.2472, 0.8650], [0.5068, 0.1246, 0.2596], [0.1322, 0.3754, 0.3850]],
  "vol_a3_per_cell": 193.0,
  "e_tot_ry_per_atom": -0.7099,
  "m_tot_mub_per_fu": 0.000,
  "sg": "I-42d, No. 122"
}


[20]
{
  "formula": "HoPa2N4",
  "functional": "GGA-PBE",
  "state": "relaxed",
  "cell": [[-0.8668, -1.0571, -3.2289], [5.3698, 1.8380, -2.0432], [-0.0078, -5.1189, 3.5818]],
  "species": ["Ho", "Pa", "Pa", "N", "N", "N", "N"],
  "frac_coords": [[0.0000, 0.0000, 0.0000], [0.2990, 0.2988, 0.5981], [0.7010, 0.7012, 0.4019], [0.1448, 0.4341, 0.2896], [0.8552, 0.5659, 0.7104], [0.3482, 0.9849, 0.6964], [0.6518, 0.0151, 0.3036]],
  "vol_a3_per_cell": 112.4,
  "e_tot_ry_per_atom": -0.7078,
  "m_tot_mub_per_fu": 0.000,
  "sg": "C2/m, No. 12"
}